No. 1
Compound: SrMgZr2
Source: the Alexandria database
Functional: PBE
Structure: relaxed

Computed properties:
Theoretical density, g/cm3: 4.5
Energy of formation from the pure elements, eV/atom: 0.286
Electronic total energy, eV/atom: -4.807
Total magnetic moment, μB per atom: 0.000

Unit cell a=6.682 b=6.682 c=5.375 alpha=66.20 beta=66.20 gamma=29.66
Element x y z (fractional)
Mg  0.750  0.750  0.750
Zr  0.473  0.473  0.527
Zr  0.027  0.027  0.973
Sr  0.250  0.250  0.250


No. 2
Compound: Sm12Er7Sc
Source: the Alexandria database
Functional: PBE
Structure: relaxed

Computed properties:
Theoretical density, g/cm3: 7.7
Energy of formation from the pure elements, eV/atom: 0.166
Electronic total energy, eV/atom: -4.579
Total magnetic moment, μB per atom: 0.000

Unit cell a=9.294 b=9.294 c=9.294 alpha=108.01 beta=108.01 gamma=108.01
Element x y z (fractional)
Er  0.321  0.997  0.883
Er  0.500  0.500  0.500
Sm  0.220  0.695  0.430
Sm  0.627  0.943  0.712
Er  0.883  0.321  0.997
Sm  0.305  0.570  0.780
Sm  0.695  0.430  0.220
Sm  0.373  0.057  0.288
Sm  0.780  0.305  0.570
Er  0.003  0.117  0.679
Sc  0.000  0.000  0.000
Sm  0.712  0.627  0.943
Er  0.679  0.003  0.117
Er  0.997  0.883  0.321
Sm  0.570  0.780  0.305
Sm  0.288  0.373  0.057
Sm  0.430  0.220  0.695
Er  0.117  0.679  0.003
Sm  0.057  0.288  0.373
Sm  0.943  0.712  0.627


No. 3
Compound: La2Sb4Rh3
Source: the Alexandria database
Functional: PBE
Structure: relaxed

Computed properties:
Formation energy without anion corrections, kJ/mol of formula units: -643
Theoretical density, g/cm3: 8.6
Electronic total energy, eV/atom: -6.118
Total magnetic moment, μB per atom: 0.000

Unit cell a=6.072 b=6.072 c=7.246 alpha=101.26 beta=101.26 gamma=122.26
Element x y z (fractional)
Rh  0.000  0.000  0.000
Sb  0.995  0.314  0.309
La  0.368  0.368  0.736
La  0.632  0.632  0.264
Rh  0.500  0.000  0.000
Rh  0.000  0.500  0.000
Sb  0.005  0.686  0.691
Sb  0.686  0.005  0.691
Sb  0.314  0.995  0.309


No. 4
Compound: LaTeAsN2
Source: the Alexandria database
Functional: PBE
Structure: relaxed

Computed properties:
Formation energy without anion corrections, kJ/mol of formula units: 414
Theoretical density, g/cm3: 4.8
Electronic total energy, eV/atom: -5.016
Total magnetic moment, μB per atom: 0.199

Unit cell a=4.251 b=4.251 c=7.037 alpha=90.00 beta=90.00 gamma=90.00
Element x y z (fractional)
Te  0.000  0.000  0.500
La  0.000  0.000  0.000
N  0.000  0.500  0.000
N  0.500  0.000  0.000
As  0.500  0.500  0.500


No. 5
Compound: Pm2MgHg
Source: the Alexandria database
Functional: PBE
Structure: relaxed

Computed properties:
Theoretical density, g/cm3: 7.1
Energy of formation from the pure elements, eV/atom: -0.109
Electronic total energy, eV/atom: -2.958
Total magnetic moment, μB per atom: 0.000

Unit cell a=3.647 b=3.647 c=10.652 alpha=80.14 beta=80.14 gamma=60.00
Element x y z (fractional)
Mg  0.500  0.500  0.499
Hg  0.667  0.667  0.000
Pm  0.079  0.079  0.764
Pm  0.254  0.254  0.237


No. 6
Compound: In2Co
Source: the Alexandria database
Functional: PBE
Structure: relaxed

Computed properties:
Theoretical density, g/cm3: 8.6
Energy of formation from the pure elements, eV/atom: 0.021
Electronic total energy, eV/atom: -4.173
Total magnetic moment, μB per atom: 0.112

Unit cell a=10.105 b=9.322 c=5.401 alpha=82.03 beta=66.01 gamma=31.96
Element x y z (fractional)
In  0.838  0.838  0.662
In  0.662  0.662  0.838
In  0.410  0.090  0.410
In  0.412  0.412  0.588
Co  0.378  0.378  0.122
In  0.840  0.160  0.840
In  0.090  0.410  0.090
Co  0.128  0.128  0.872
Co  0.872  0.872  0.128
Co  0.122  0.122  0.378
In  0.160  0.840  0.160
In  0.588  0.588  0.412